First-principles (PBE-GGA) data for crystalline YTl3I at its relaxed geometry, as listed in the Alexandria database.

* volume: 233.5 Å³/cell
* E above lowest polymorph: 0 meV/atom
* D(E_F): 5.23 states/eV/cell
* raw total energy: -2.74 eV/atom
* crystal system: cubic
* SG: No. 221

a b c (Å): 6.158 6.158 6.158
angles (deg): 90.00 90.00 90.00
Fractional positions:
Y 0.000 0.000 0.000
Tl 0.000 0.000 0.500
Tl 0.000 0.500 0.000
Tl 0.500 0.000 0.000
I 0.500 0.500 0.500



First-principles (PBE-GGA) data for crystalline SnAuS4 at its relaxed geometry, as listed in the Alexandria database.

* volume: 136.8 Å³/cell
* D(E_F): 3.10 states/eV/cell
* raw total energy: -3.99 eV/atom
* crystal system: monoclinic
* SG: No. 10

a b c (Å): 6.210 3.708 6.317
angles (deg): 90.00 109.86 90.00
Fractional positions:
Sn 0.000 0.000 0.000
Au 0.000 0.500 0.500
S 0.241 0.000 0.742
S 0.243 0.500 0.261
S 0.757 0.500 0.739
S 0.759 0.000 0.258



First-principles (PBE-GGA) data for crystalline YSCl2F at its relaxed geometry, as listed in the Alexandria database.

* volume: 96.5 Å³/cell
* E above lowest polymorph: 329 meV/atom
* D(E_F): 1.02 states/eV/cell
* raw total energy: -4.06 eV/atom
* crystal system: tetragonal
* SG: No. 123

a b c (Å): 4.981 4.981 3.890
angles (deg): 90.00 90.00 90.00
Fractional positions:
Y 0.000 0.000 0.000
S 0.500 0.500 0.000
Cl 0.000 0.500 0.500
Cl 0.500 0.000 0.500
F 0.500 0.500 0.500



First-principles (PBE-GGA) data for crystalline PuMoP at its relaxed geometry, as listed in the Alexandria database.

* volume: 56.8 Å³/cell
* D(E_F): 6.09 states/eV/cell
* raw total energy: -10.54 eV/atom
* formation energy: -0.348 eV/atom
* crystal system: hexagonal
* SG: No. 187

a b c (Å): 4.207 4.207 3.707
angles (deg): 90.00 90.00 120.00
Fractional positions:
Pu 0.000 0.000 0.000
Mo 0.667 0.333 0.500
P 0.333 0.667 0.500



First-principles (PBE-GGA) data for crystalline Pm3SmPt2 at its relaxed geometry, as listed in the Alexandria database.

* volume: 324.9 Å³/cell
* E above lowest polymorph: 0 meV/atom
* D(E_F): 13.12 states/eV/cell
* raw total energy: -6.02 eV/atom
* formation energy: -0.842 eV/atom
* crystal system: orthorhombic
* SG: No. 26

a b c (Å): 4.885 9.061 7.341
angles (deg): 90.00 90.00 90.00
Fractional positions:
Pm 0.000 0.084 0.000
Pm 0.000 0.336 0.362
Pm 0.000 0.664 0.862
Pm 0.000 0.916 0.500
Pm 0.500 0.165 0.651
Pm 0.500 0.835 0.151
Sm 0.500 0.416 0.012
Sm 0.500 0.584 0.512
Pt 0.000 0.340 0.765
Pt 0.000 0.660 0.265
Pt 0.500 0.161 0.247
Pt 0.500 0.839 0.747



First-principles (PBE-GGA) data for crystalline Ba3Sr3LiHg2 at its relaxed geometry, as listed in the Alexandria database.

* volume: 394.3 Å³/cell
* D(E_F): 11.19 states/eV/cell
* raw total energy: -1.66 eV/atom
* formation energy: -0.174 eV/atom
* crystal system: hexagonal
* SG: No. 189

a b c (Å): 9.230 9.230 5.344
angles (deg): 90.00 90.00 120.00
Fractional positions:
Ba 0.000 0.734 0.000
Ba 0.266 0.266 0.000
Ba 0.734 0.000 0.000
Sr 0.000 0.413 0.500
Sr 0.413 0.000 0.500
Sr 0.587 0.587 0.500
Li 0.000 0.000 0.500
Hg 0.333 0.667 0.000
Hg 0.667 0.333 0.000



First-principles (PBE-GGA) data for crystalline Pm4TlTc at its relaxed geometry, as listed in the Alexandria database.

* volume: 360.7 Å³/cell
* D(E_F): 12.70 states/eV/cell
* raw total energy: -5.46 eV/atom
* formation energy: -0.167 eV/atom
* crystal system: monoclinic
* SG: No. 15

a b c (Å): 7.976 7.976 6.407
angles (deg): 99.40 99.40 112.25
Fractional positions:
Pm 0.058 0.724 0.954
Pm 0.202 0.361 0.603
Pm 0.276 0.942 0.546
Pm 0.361 0.202 0.103
Pm 0.639 0.798 0.897
Pm 0.724 0.058 0.454
Pm 0.798 0.639 0.397
Pm 0.942 0.276 0.046
Tl 0.377 0.623 0.250
Tl 0.623 0.377 0.750
Tc 0.001 0.999 0.250
Tc 0.999 0.001 0.750



First-principles (PBE-GGA) data for crystalline TbPr3Sm8 at its relaxed geometry, as listed in the Alexandria database.

* volume: 440.7 Å³/cell
* D(E_F): 14.95 states/eV/cell
* raw total energy: -4.44 eV/atom
* formation energy: 0.287 eV/atom
* crystal system: orthorhombic
* SG: No. 71

a b c (Å): 8.816 8.816 8.816
angles (deg): 136.09 98.85 97.22
Fractional positions:
Tb 0.000 0.000 0.000
Pr 0.246 0.746 0.500
Pr 0.500 0.500 0.000
Pr 0.754 0.254 0.500
Sm 0.083 0.249 0.833
Sm 0.243 0.254 0.497
Sm 0.243 0.746 0.989
Sm 0.416 0.249 0.167
Sm 0.584 0.751 0.833
Sm 0.757 0.254 0.011
Sm 0.757 0.746 0.503
Sm 0.917 0.751 0.167



First-principles (PBE-GGA) data for crystalline LiCuBi2Cl at its relaxed geometry, as listed in the Alexandria database.

* volume: 135.5 Å³/cell
* D(E_F): 3.36 states/eV/cell
* raw total energy: -2.84 eV/atom
* crystal system: tetragonal
* SG: No. 123

a b c (Å): 5.720 5.720 4.140
angles (deg): 90.00 90.00 90.00
Fractional positions:
Li 0.000 0.000 0.000
Cu 0.500 0.500 0.000
Bi 0.000 0.500 0.500
Bi 0.500 0.000 0.500
Cl 0.000 0.000 0.500



First-principles (PBE-GGA) data for crystalline Ta2AsOs at its relaxed geometry, as listed in the Alexandria database.

* volume: 132.3 Å³/cell
* D(E_F): 6.86 states/eV/cell
* raw total energy: -9.99 eV/atom
* formation energy: -0.093 eV/atom
* crystal system: monoclinic
* SG: No. 8

a b c (Å): 10.233 3.146 4.397
angles (deg): 90.00 110.88 90.00
Fractional positions:
Ta 0.000 0.000 0.000
Ta 0.225 0.000 0.665
Ta 0.500 0.500 0.000
Ta 0.725 0.500 0.665
As 0.467 0.000 0.470
As 0.967 0.500 0.470
Os 0.244 0.500 0.178
Os 0.744 0.000 0.178



First-principles (PBE-GGA) data for crystalline Pu2RhPb at its relaxed geometry, as listed in the Alexandria database.

* volume: 322.7 Å³/cell
* E above lowest polymorph: 125 meV/atom
* D(E_F): 49.06 states/eV/cell
* raw total energy: -10.12 eV/atom
* formation energy: -0.186 eV/atom
* crystal system: trigonal
* SG: No. 166

a b c (Å): 3.842 3.842 25.253
angles (deg): 90.00 90.00 120.00
Fractional positions:
Pu 0.000 0.000 0.233
Pu 0.000 0.000 0.767
Pu 0.333 0.667 0.433
Pu 0.333 0.667 0.900
Pu 0.667 0.333 0.100
Pu 0.667 0.333 0.567
Rh 0.000 0.000 0.500
Rh 0.333 0.667 0.167
Rh 0.667 0.333 0.833
Pb 0.000 0.000 0.000
Pb 0.333 0.667 0.667
Pb 0.667 0.333 0.333



First-principles (PBE-GGA) data for crystalline LiCaCd2Hg4 at its relaxed geometry, as listed in the Alexandria database.

* volume: 183.9 Å³/cell
* D(E_F): 3.37 states/eV/cell
* raw total energy: -1.15 eV/atom
* formation energy: -0.284 eV/atom
* crystal system: trigonal
* SG: No. 166

a b c (Å): 8.890 8.890 8.890
angles (deg): 32.85 32.85 32.85
Fractional positions:
Li 0.000 0.000 0.000
Ca 0.500 0.500 0.500
Cd 0.250 0.250 0.250
Cd 0.750 0.750 0.750
Hg 0.117 0.117 0.117
Hg 0.369 0.369 0.369
Hg 0.631 0.631 0.631
Hg 0.883 0.883 0.883